Compound: SrYGa2Pt2
Source: the Alexandria database
Functional: GGA-PBE
Structure: relaxed

Crystal system: trigonal
Uncorrected energy in eV per atom: -5.35
Space-group type: No. 164

Lattice parameters (Å, degrees): 4.463 4.463 7.776 90.00 90.00 120.00
Positions (direct):
Sr1 0.000 0.000 0.000
Y1 0.000 0.000 0.500
Ga1 0.333 0.667 0.717
Ga2 0.667 0.333 0.283
Pt1 0.333 0.667 0.292
Pt2 0.667 0.333 0.708


Compound: Sr2ZnGaPt6
Source: the Alexandria database
Functional: GGA-PBE
Structure: relaxed

Crystal system: trigonal
Uncorrected energy in eV per atom: -4.92
Space-group type: No. 166

Lattice parameters (Å, degrees): 8.566 8.566 8.566 38.63 38.63 38.63
Positions (direct):
Sr1 0.203 0.203 0.203
Sr2 0.797 0.797 0.797
Zn1 0.000 0.000 0.000
Ga1 0.500 0.500 0.500
Pt1 0.251 0.251 0.746
Pt2 0.251 0.746 0.251
Pt3 0.254 0.749 0.749
Pt4 0.746 0.251 0.251
Pt5 0.749 0.254 0.749
Pt6 0.749 0.749 0.254


Compound: SrZn2GaPt
Source: the Alexandria database
Functional: GGA-PBE
Structure: relaxed

Crystal system: tetragonal
Offset from the most stable computed form in meV/atom: 77.0
Space-group type: No. 123

Lattice parameters (Å, degrees): 4.917 4.917 4.833 90.00 90.00 90.00
Positions (direct):
Sr1 0.000 0.000 0.000
Zn1 0.000 0.500 0.500
Zn2 0.500 0.000 0.500
Ga1 0.500 0.500 0.000
Pt1 0.500 0.500 0.500